Record 1
Na2VW2: relaxed, PBE-GGA.

a = 8.9036 Å, b = 8.9036 Å, c = 2.6369 Å
α = 90.00°, β = 90.00°, γ = 90.00°
Fractional positions:
Na 0.1973 0.3027 0.0000
Na 0.3027 0.8027 0.0000
Na 0.6973 0.1973 0.0000
Na 0.8027 0.6973 0.0000
V 0.0000 0.0000 0.5000
V 0.5000 0.5000 0.5000
W 0.0952 0.5952 0.5000
W 0.4048 0.0952 0.5000
W 0.5952 0.9048 0.5000
W 0.9048 0.4048 0.5000

Output
Electronic total energy, eV for the cell shown: -59.70
Density of states at the Fermi level, states/eV per cell: 7.65
Offset from the most stable computed form, eV per formula unit: 2.15



Record 2
BeTcSb: relaxed, PBE-GGA.

a = 4.0058 Å, b = 4.0058 Å, c = 3.3098 Å
α = 90.00°, β = 90.00°, γ = 120.00°
Fractional positions:
Be 0.0000 0.0000 0.0000
Tc 0.3333 0.6667 0.0000
Sb 0.6667 0.3333 0.5000

Output
Formation energy without anion corrections, eV per formula unit: 0.76
Electronic total energy, eV for the cell shown: -17.46
Density of states at the Fermi level, states/eV per cell: 0.85
Offset from the most stable computed form, eV per formula unit: 0.94



Record 3
LaTb2Sm4Er: relaxed, PBE-GGA.

a = 6.2283 Å, b = 3.6230 Å, c = 11.9965 Å
α = 90.00°, β = 100.16°, γ = 90.00°
Fractional positions:
La 0.0000 0.0000 0.0000
Tb 0.0000 0.5000 0.5000
Tb 0.5000 0.0000 0.5000
Sm 0.2496 0.0000 0.7488
Sm 0.2519 0.5000 0.2536
Sm 0.7481 0.5000 0.7464
Sm 0.7504 0.0000 0.2512
Er 0.5000 0.5000 0.0000

Output
Electronic total energy, eV for the cell shown: -37.47
Density of states at the Fermi level, states/eV per cell: 11.68



Record 4
SmHo3O6: relaxed, PBE-GGA.

a = 6.7586 Å, b = 6.7586 Å, c = 6.7586 Å
α = 91.26°, β = 91.26°, γ = 91.26°
Fractional positions:
Sm 0.0000 0.0000 0.0000
Sm 0.5000 0.5000 0.5000
Ho 0.0534 0.5619 0.7514
Ho 0.2486 0.9466 0.4381
Ho 0.4381 0.2486 0.9466
Ho 0.5619 0.7514 0.0534
Ho 0.7514 0.0534 0.5619
Ho 0.9466 0.4381 0.2486
O 0.0254 0.8932 0.6760
O 0.1068 0.3240 0.9746
O 0.1790 0.6006 0.4263
O 0.3240 0.9746 0.1068
O 0.3994 0.5737 0.8210
O 0.4263 0.1790 0.6006
O 0.5737 0.8210 0.3994
O 0.6006 0.4263 0.1790
O 0.6760 0.0254 0.8932
O 0.8210 0.3994 0.5737
O 0.8932 0.6760 0.0254
O 0.9746 0.1068 0.3240

Output
Formation energy without anion corrections, eV per formula unit: -35.14
Electronic total energy, eV for the cell shown: -166.68
Density of states at the Fermi level, states/eV per cell: 0.00



Record 5
HgAsBr2Cl: relaxed, PBE-GGA.

a = 5.5886 Å, b = 5.5886 Å, c = 5.1643 Å
α = 90.00°, β = 90.00°, γ = 90.00°
Fractional positions:
Hg 0.0000 0.0000 0.0000
As 0.5000 0.5000 0.0000
Br 0.0000 0.5000 0.5000
Br 0.5000 0.0000 0.5000
Cl 0.5000 0.5000 0.5000

Output
Formation energy without anion corrections, eV per formula unit: 2.82
Electronic total energy, eV for the cell shown: -7.33
Density of states at the Fermi level, states/eV per cell: 4.02
Offset from the most stable computed form, eV per formula unit: 0.48



Record 6
Ni2W3: relaxed, PBE-GGA.

a = 2.7367 Å, b = 2.7367 Å, c = 33.3948 Å
α = 90.00°, β = 90.00°, γ = 120.00°
Fractional positions:
Ni 0.0000 0.0000 0.1018
Ni 0.0000 0.0000 0.8982
Ni 0.3333 0.6667 0.5649
Ni 0.3333 0.6667 0.7684
Ni 0.6667 0.3333 0.2316
Ni 0.6667 0.3333 0.4351
W 0.0000 0.0000 0.2962
W 0.0000 0.0000 0.5000
W 0.0000 0.0000 0.7038
W 0.3333 0.6667 0.1667
W 0.3333 0.6667 0.3705
W 0.3333 0.6667 0.9628
W 0.6667 0.3333 0.0372
W 0.6667 0.3333 0.6295
W 0.6667 0.3333 0.8333

Output
Electronic total energy, eV for the cell shown: -147.02
Density of states at the Fermi level, states/eV per cell: 22.57
Offset from the most stable computed form, eV per formula unit: 0.53



Record 7
MnVRu2S: relaxed, PBE-GGA.

a = 4.2962 Å, b = 4.2962 Å, c = 4.0482 Å
α = 90.00°, β = 90.00°, γ = 90.00°
Fractional positions:
Mn 0.0000 0.0000 0.0000
V 0.5000 0.5000 0.0000
Ru 0.0000 0.5000 0.5000
Ru 0.5000 0.0000 0.5000
S 0.0000 0.0000 0.5000

Output
Formation energy without anion corrections, eV per formula unit: 2.76
Electronic total energy, eV for the cell shown: -38.20
Density of states at the Fermi level, states/eV per cell: 9.05



Record 8
BaHfAu2: relaxed, PBE-GGA.

a = 3.5315 Å, b = 3.5315 Å, c = 7.9661 Å
α = 90.00°, β = 90.00°, γ = 90.00°
Fractional positions:
Ba 0.0000 0.0000 0.0000
Hf 0.0000 0.0000 0.5000
Au 0.5000 0.5000 0.3144
Au 0.5000 0.5000 0.6856

Output
Electronic total energy, eV for the cell shown: -20.32
Density of states at the Fermi level, states/eV per cell: 1.45
Offset from the most stable computed form, eV per formula unit: 0.00



Record 9
KMg2Si2: relaxed, PBE-GGA.

a = 4.6524 Å, b = 4.6524 Å, c = 10.8813 Å
α = 90.00°, β = 90.00°, γ = 90.00°
Fractional positions:
K 0.0000 0.0000 0.0000
K 0.5000 0.5000 0.5000
Mg 0.0000 0.5000 0.2500
Mg 0.0000 0.5000 0.7500
Mg 0.5000 0.0000 0.2500
Mg 0.5000 0.0000 0.7500
Si 0.0000 0.0000 0.3911
Si 0.0000 0.0000 0.6089
Si 0.5000 0.5000 0.1089
Si 0.5000 0.5000 0.8911

Output
Formation energy without anion corrections, eV per formula unit: -0.31
Electronic total energy, eV for the cell shown: -30.89
Density of states at the Fermi level, states/eV per cell: 3.54
Offset from the most stable computed form, eV per formula unit: 0.00



Record 10
PrErP: relaxed, PBE-GGA.

a = 3.9628 Å, b = 3.9628 Å, c = 6.5798 Å
α = 90.00°, β = 90.00°, γ = 120.00°
Fractional positions:
Pr 0.0000 0.0000 0.0000
Er 0.3333 0.6667 0.4917
P 0.6667 0.3333 0.2638

Output
Electronic total energy, eV for the cell shown: -17.50
Density of states at the Fermi level, states/eV per cell: 4.24



Record 11
SrNb2CdFe: relaxed, PBE-GGA.

a = 5.1899 Å, b = 5.1899 Å, c = 4.8125 Å
α = 90.00°, β = 90.00°, γ = 90.00°
Fractional positions:
Sr 0.0000 0.0000 0.0000
Nb 0.0000 0.5000 0.5000
Nb 0.5000 0.0000 0.5000
Cd 0.5000 0.5000 0.5000
Fe 0.5000 0.5000 0.0000

Output
Electronic total energy, eV for the cell shown: -22.39
Density of states at the Fermi level, states/eV per cell: 10.29



Record 12
DyY2Al: relaxed, PBE-GGA.

a = 4.7820 Å, b = 4.7820 Å, c = 4.7590 Å
α = 90.00°, β = 90.00°, γ = 90.00°
Fractional positions:
Dy 0.0000 0.0000 0.0000
Y 0.0000 0.5000 0.5000
Y 0.5000 0.0000 0.5000
Al 0.5000 0.5000 0.0000

Output
Electronic total energy, eV for the cell shown: -22.02
Density of states at the Fermi level, states/eV per cell: 5.76
Offset from the most stable computed form, eV per formula unit: 0.07



Record 13
Ce4SbAs2Se: relaxed, PBE-GGA.

a = 7.4218 Å, b = 4.2840 Å, c = 7.4634 Å
α = 90.00°, β = 109.36°, γ = 90.00°
Fractional positions:
Ce 0.2393 0.0000 0.2356
Ce 0.2480 0.5000 0.7608
Ce 0.7520 0.5000 0.2392
Ce 0.7607 0.0000 0.7644
Sb 0.5000 0.5000 0.5000
As 0.0000 0.5000 0.0000
As 0.5000 0.0000 0.0000
Se 0.0000 0.0000 0.5000

Output
Formation energy without anion corrections, eV per formula unit: -11.39
Electronic total energy, eV for the cell shown: -52.04
Density of states at the Fermi level, states/eV per cell: 23.98



Record 14
Tm2Sn2BIr4: relaxed, PBE-GGA.

a = 6.0780 Å, b = 6.0780 Å, c = 6.0780 Å
α = 120.20°, β = 120.20°, γ = 89.65°
Fractional positions:
Tm 0.2110 0.2110 0.0000
Tm 0.7890 0.7890 0.0000
Sn 0.2500 0.7500 0.5000
Sn 0.7500 0.2500 0.5000
B 0.5000 0.5000 0.0000
Ir 0.2569 0.2569 0.5138
Ir 0.2569 0.7431 0.0000
Ir 0.7431 0.2569 0.0000
Ir 0.7431 0.7431 0.4862

Output
Electronic total energy, eV for the cell shown: -62.84
Density of states at the Fermi level, states/eV per cell: 4.53



Record 15
CdReRu2: relaxed, PBE-GGA.

a = 4.5693 Å, b = 4.5693 Å, c = 2.9780 Å
α = 90.00°, β = 90.00°, γ = 90.00°
Fractional positions:
Cd 0.0000 0.0000 0.0000
Re 0.5000 0.5000 0.0000
Ru 0.0000 0.5000 0.5000
Ru 0.5000 0.0000 0.5000

Output
Electronic total energy, eV for the cell shown: -29.92
Density of states at the Fermi level, states/eV per cell: 4.03



Record 16
Ce2TlAu: relaxed, PBE-GGA.

a = 3.9196 Å, b = 3.9196 Å, c = 27.0414 Å
α = 90.00°, β = 90.00°, γ = 120.00°
Fractional positions:
Ce 0.0000 0.0000 0.2413
Ce 0.0000 0.0000 0.7587
Ce 0.3333 0.6667 0.4253
Ce 0.3333 0.6667 0.9080
Ce 0.6667 0.3333 0.0920
Ce 0.6667 0.3333 0.5747
Tl 0.0000 0.0000 0.0000
Tl 0.3333 0.6667 0.6667
Tl 0.6667 0.3333 0.3333
Au 0.0000 0.0000 0.5000
Au 0.3333 0.6667 0.1667
Au 0.6667 0.3333 0.8333

Output
Electronic total energy, eV for the cell shown: -55.66
Density of states at the Fermi level, states/eV per cell: 35.61



Record 17
CoTc: relaxed, PBE-GGA.

a = 2.6531 Å, b = 2.6531 Å, c = 4.1267 Å
α = 90.00°, β = 90.00°, γ = 120.00°
Fractional positions:
Co 0.0000 0.0000 0.0000
Tc 0.3333 0.6667 0.5000

Output
Electronic total energy, eV for the cell shown: -17.31
Density of states at the Fermi level, states/eV per cell: 2.13
Offset from the most stable computed form, eV per formula unit: 0.26



Record 18
FeNiAu2: relaxed, PBE-GGA.

a = 8.9653 Å, b = 2.8292 Å, c = 4.8447 Å
α = 90.00°, β = 100.55°, γ = 90.00°
Fractional positions:
Fe 0.0000 0.0000 0.0000
Fe 0.5000 0.5000 0.0000
Ni 0.0000 0.5000 0.5000
Ni 0.5000 0.0000 0.5000
Au 0.2488 0.0000 0.7492
Au 0.2512 0.5000 0.2508
Au 0.7488 0.5000 0.7492
Au 0.7512 0.0000 0.2508

Output
Electronic total energy, eV for the cell shown: -40.08
Density of states at the Fermi level, states/eV per cell: 6.33
Offset from the most stable computed form, eV per formula unit: 0.50



Record 19
HfZrH: relaxed, PBE-GGA.

a = 5.3375 Å, b = 3.4229 Å, c = 5.3379 Å
α = 90.00°, β = 95.00°, γ = 90.00°
Fractional positions:
Hf 0.0392 0.2500 0.2668
Hf 0.9608 0.7500 0.7332
Zr 0.4637 0.2500 0.7371
Zr 0.5363 0.7500 0.2629
H 0.3750 0.2500 0.1041
H 0.6250 0.7500 0.8959

Output
Electronic total energy, eV for the cell shown: -44.77
Density of states at the Fermi level, states/eV per cell: 6.27
Offset from the most stable computed form, eV per formula unit: 0.05



Record 20
Pr4P2Br5: relaxed, PBE-GGA.

a = 9.8884 Å, b = 9.8884 Å, c = 9.8884 Å
α = 151.68°, β = 104.04°, γ = 82.94°
Fractional positions:
Pr 0.1764 0.1764 0.0000
Pr 0.3544 0.5000 0.8544
Pr 0.6456 0.5000 0.1456
Pr 0.8236 0.8236 0.0000
P 0.3477 0.3477 0.0000
P 0.6523 0.6523 0.0000
Br 0.0203 0.3667 0.6536
Br 0.2869 0.6333 0.6536
Br 0.5000 0.0000 0.5000
Br 0.7131 0.3667 0.3464
Br 0.9797 0.6333 0.3464

Output
Formation energy without anion corrections, eV per formula unit: -12.42
Electronic total energy, eV for the cell shown: -50.73
Density of states at the Fermi level, states/eV per cell: 3.20



Record 21
NaVRe2Os: relaxed, PBE-GGA.

a = 4.4051 Å, b = 4.4051 Å, c = 4.3968 Å
α = 90.00°, β = 90.00°, γ = 90.00°
Fractional positions:
Na 0.0000 0.0000 0.0000
V 0.5000 0.5000 0.5000
Re 0.0000 0.5000 0.0000
Re 0.5000 0.0000 0.0000
Os 0.0000 0.0000 0.5000

Output
Electronic total energy, eV for the cell shown: -31.81
Density of states at the Fermi level, states/eV per cell: 7.32



Record 22
Zr2Be2Sn: relaxed, PBE-GGA.

a = 4.2478 Å, b = 4.2478 Å, c = 10.2833 Å
α = 90.00°, β = 90.00°, γ = 90.00°
Fractional positions:
Zr 0.0000 0.5000 0.2500
Zr 0.0000 0.5000 0.7500
Zr 0.5000 0.0000 0.2500
Zr 0.5000 0.0000 0.7500
Be 0.0000 0.0000 0.0983
Be 0.0000 0.0000 0.9017
Be 0.5000 0.5000 0.4017
Be 0.5000 0.5000 0.5983
Sn 0.0000 0.0000 0.5000
Sn 0.5000 0.5000 0.0000

Output
Electronic total energy, eV for the cell shown: -54.68
Density of states at the Fermi level, states/eV per cell: 8.16
Offset from the most stable computed form, eV per formula unit: 3.05



Record 23
LaYP2S: relaxed, PBE-GGA.

a = 5.2594 Å, b = 5.2594 Å, c = 5.3431 Å
α = 90.00°, β = 90.00°, γ = 90.00°
Fractional positions:
La 0.0000 0.0000 0.0000
Y 0.5000 0.5000 0.5000
P 0.0000 0.5000 0.0000
P 0.5000 0.0000 0.0000
S 0.0000 0.0000 0.5000

Output
Formation energy without anion corrections, eV per formula unit: -0.77
Electronic total energy, eV for the cell shown: -27.11
Density of states at the Fermi level, states/eV per cell: 3.29
Offset from the most stable computed form, eV per formula unit: 2.69



Record 24
Tb2Mg3Sc3: relaxed, PBE-GGA.

a = 9.1072 Å, b = 9.1072 Å, c = 9.1072 Å
α = 33.44°, β = 33.44°, γ = 33.44°
Fractional positions:
Tb 0.0000 0.0000 0.0000
Tb 0.4984 0.4984 0.4984
Mg 0.1227 0.1227 0.1227
Mg 0.6263 0.6263 0.6263
Mg 0.8747 0.8747 0.8747
Sc 0.2478 0.2478 0.2478
Sc 0.3737 0.3737 0.3737
Sc 0.7518 0.7518 0.7518

Output
Electronic total energy, eV for the cell shown: -33.06
Density of states at the Fermi level, states/eV per cell: 9.93



Record 25
GeSeI2: relaxed, PBE-GGA.

a = 8.1902 Å, b = 8.1902 Å, c = 7.7097 Å
α = 90.00°, β = 90.00°, γ = 90.00°
Fractional positions:
Ge 0.0000 0.0000 0.0000
Ge 0.0000 0.5000 0.2500
Ge 0.5000 0.0000 0.7500
Ge 0.5000 0.5000 0.5000
Se 0.0000 0.0000 0.5000
Se 0.0000 0.5000 0.7500
Se 0.5000 0.0000 0.2500
Se 0.5000 0.5000 0.0000
I 0.2245 0.7500 0.1250
I 0.2500 0.2245 0.8750
I 0.2500 0.2755 0.3750
I 0.2755 0.7500 0.6250
I 0.7245 0.2500 0.6250
I 0.7500 0.7245 0.3750
I 0.7500 0.7755 0.8750
I 0.7755 0.2500 0.1250

Output
Formation energy without anion corrections, eV per formula unit: 1.51
Electronic total energy, eV for the cell shown: -38.77
Density of states at the Fermi level, states/eV per cell: 11.86
Offset from the most stable computed form, eV per formula unit: 0.00



Record 26
SrPaSn2O8: relaxed, PBE-GGA.

a = 6.3161 Å, b = 6.3161 Å, c = 6.3161 Å
α = 108.25°, β = 108.25°, γ = 111.95°
Fractional positions:
Sr 0.0000 0.0000 0.0000
Pa 0.7500 0.2500 0.5000
Sn 0.2500 0.7500 0.5000
Sn 0.5000 0.5000 0.0000
O 0.0396 0.3656 0.3260
O 0.0396 0.7135 0.6740
O 0.1143 0.3189 0.7955
O 0.2865 0.9604 0.3260
O 0.5234 0.3189 0.2045
O 0.6344 0.9604 0.6740
O 0.6811 0.4766 0.7955
O 0.6811 0.8857 0.2045

Output
Formation energy without anion corrections, eV per formula unit: -25.16
Electronic total energy, eV for the cell shown: -84.01
Density of states at the Fermi level, states/eV per cell: 12.13